# BaBiAu

Crystalline BaBiAu at its relaxed geometry (GGA-PBE, Alexandria via LeMat-Bulk).

a = 4.9472 Å, b = 11.2882 Å, c = 6.9430 Å
α = 90.00°, β = 90.00°, γ = 90.00°
Space group Cmcm (No. 63)
Asymmetric unit:
Ba1 0.0000 0.1976 0.2500 [4 per cell]
Bi1 0.0000 0.5000 0.0000 [4 per cell]
Au1 0.0000 0.0962 0.7500 [4 per cell]

mass density: 9.3 g/cm³
E_tot: -3.690 eV/atom
calculated formation energy: -663 meV/atom
N(E_F): 4.927 states/eV/cell

***

# ErB6Ir12

Crystalline ErB6Ir12 at its relaxed geometry (GGA-PBE, Alexandria via LeMat-Bulk).

a = 10.3250 Å, b = 10.3250 Å, c = 8.1117 Å
α = 90.00°, β = 90.00°, γ = 120.00°
Space group R-3m (No. 166, hexagonal axes)
Asymmetric unit:
Er1 0.0000 0.0000 0.0000 [3 per cell]
B1 0.0421 0.5211 0.2902 [18 per cell]
Ir1 0.0000 0.3647 0.5000 [18 per cell]
Ir2 0.0867 0.1733 0.3574 [18 per cell]

mass density: 16.9 g/cm³
E_tot: -8.192 eV/atom
calculated formation energy: -247 meV/atom
N(E_F): 41.429 states/eV/cell

***

# InPCCl2

Crystalline InPCCl2 at its relaxed geometry (GGA-PBE, Alexandria via LeMat-Bulk).

a = 6.2324 Å, b = 6.2324 Å, c = 3.1886 Å
α = 90.00°, β = 90.00°, γ = 90.00°
Space group P4/mmm (No. 123)
Asymmetric unit:
In1 0.0000 0.0000 0.0000 [1 per cell]
P1 0.5000 0.5000 0.0000 [1 per cell]
C1 0.5000 0.5000 0.5000 [1 per cell]
Cl1 0.0000 0.5000 0.5000 [2 per cell]

mass density: 3.1 g/cm³
E_tot: -3.543 eV/atom
energy relative to the elements, uncorrected: 0.670 eV per atom
polymorph energy (0 for the lowest one): 0 meV/atom
N(E_F): 2.425 states/eV/cell

***

# PuRuO

Crystalline PuRuO at its relaxed geometry (GGA-PBE, Alexandria via LeMat-Bulk).

a = 3.8853 Å, b = 3.8853 Å, c = 24.8764 Å
α = 90.00°, β = 90.00°, γ = 120.00°
Space group R-3m (No. 166, hexagonal axes)
Asymmetric unit:
Pu1 0.0000 0.0000 0.2255 [6 per cell]
Ru1 0.0000 0.0000 0.3479 [6 per cell]
O1 0.0000 0.0000 0.1305 [6 per cell]

mass density: 11.1 g/cm³
E_tot: -10.972 eV/atom
energy relative to the elements, uncorrected: -1.450 eV per atom
N(E_F): 30.883 states/eV/cell

***

# LiScSbOs

Crystalline LiScSbOs at its relaxed geometry (GGA-PBE, Alexandria via LeMat-Bulk).

a = 6.4586 Å, b = 6.4586 Å, c = 6.4586 Å
α = 90.00°, β = 90.00°, γ = 90.00°
Space group F-43m (No. 216)
Asymmetric unit:
Li1 0.0000 0.0000 0.0000 [4 per cell]
Sc1 0.2500 0.2500 0.2500 [4 per cell]
Sb1 0.2500 0.2500 0.7500 [4 per cell]
Os1 0.0000 0.0000 0.5000 [4 per cell]

mass density: 9.0 g/cm³
E_tot: -6.293 eV/atom
energy relative to the elements, uncorrected: -0.394 eV per atom
N(E_F): 17.692 states/eV/cell

***

# Al2NiH

Crystalline Al2NiH at its relaxed geometry (GGA-PBE, Alexandria via LeMat-Bulk).

a = 4.7033 Å, b = 4.7033 Å, c = 9.7099 Å
α = 90.00°, β = 90.00°, γ = 90.00°
Space group I-42d (No. 122)
Asymmetric unit:
Al1 0.1577 0.2500 0.1250 [8 per cell]
Ni1 0.0000 0.0000 0.5000 [4 per cell]
H1 0.0000 0.0000 0.0000 [4 per cell]

mass density: 3.5 g/cm³
E_tot: -3.901 eV/atom
polymorph energy (0 for the lowest one): 175 meV/atom
N(E_F): 5.342 states/eV/cell

***

> Which value of E_tot does entry 5 give?

-6.293 eV/atom